The following is a DFT calculation (GGA-PBE) of Tb2EuAl after structural relaxation.

Cell: 3.5830 3.5830 9.3374 Å, 90.00 90.00 90.00°
Last column: nearest neighbours and their distance in Å.
Space group P4/mmm (No. 123)
Unique sites:
Tb (0.0000, 0.0000, 0.1980) x2  4 Al 3.14
Eu (0.5000, 0.5000, 0.5000) x1  4 Eu 3.58, 8 Tb 3.79
Al (0.5000, 0.5000, 0.0000) x1  8 Tb 3.14

DOS(E_F)   0.92 states/eV/atom
Theoretical density   6.882 Mg/m³
Energy of formation from the pure elements   -0.145 eV per atom
Relative energy among the computed polymorphs   0.0 kJ per mole of atoms